Record 1
Computed, not measured: crystalline BeZnP2 at its relaxed geometry at the GGA-PBEsol level of DFT.

The structure in POSCAR format:
```
BeZnP2
1.0
-2.926 2.163 0.732
-0.511 -3.285 2.433
3.219 2.066 1.529
P Zn Be
2 1 1
Direct
0.000 0.500 0.000 P
0.000 0.000 0.500 P
0.500 0.000 0.000 Zn
0.500 0.500 0.500 Be
```

Summary:
relative energy among the computed polymorphs	0.2100	eV per atom
total magnetization	0.0	μB per cell
E_form	258	meV/atom
DOS(E_F)	1.17	states/eV/cell

***

Record 2
Computed, not measured: crystalline BeZnP2 at its relaxed geometry at the GGA-PBEsol level of DFT.

The structure in POSCAR format:
```
BeZnP2
1.0
-3.884 1.570 0.411
-3.192 -2.530 1.065
-1.751 0.313 3.815
P Zn Be
2 1 1
Direct
0.000 0.000 0.000 P
0.750 0.750 0.750 P
0.250 0.250 0.250 Zn
0.500 0.500 0.500 Be
```

Summary:
relative energy among the computed polymorphs	0.4950	eV per atom
total magnetization	0.0	μB per cell
E_form	543	meV/atom
DOS(E_F)	1.59	states/eV/cell

***

Q: What is the formula in the first record?
A: BeZnP2

***

Q: What is the total magnetization in the first record?
A: 0.0 μB per cell